CuNiAs2: optimized geometry, GGA-PBE.

Electronic total energy = -4.7544 eV per atom
D(E_F) = 3.24 states/eV/f.u.
Energy of formation from the pure elements = 40 meV per atom

The structure in POSCAR format:
```
CuNiAs2
1.0
-2.1009 2.1009 7.4112
2.1009 -2.1009 7.4112
2.1009 2.1009 -7.4112
Cu Ni As
2 2 4
Direct
0.0000 0.0000 0.0000
0.7500 0.2500 0.5000
0.2500 0.7500 0.5000
0.5000 0.5000 0.0000
0.1434 0.6250 0.0184
0.3750 0.3934 0.5184
0.6066 0.1250 0.9816
0.8750 0.8566 0.4816
```